# 1
Compound: DyHo3Ag2
Source: the Alexandria database
Functional: PBE
Structure: relaxed Values from VASP.

Computed properties:
ΔH_f (0 K) in eV per atom: -0.203
Total DFT energy (no corrections) in eV/cell: -25.26
Energy above the lowest structure with this stoichiometry in meV per atom: 0
Size of the total moment in μB/f.u.: 0.00

Geometry as Quantum ESPRESSO input:
```
&SYSTEM
  ibrav = 0, nat = 6, ntyp = 3
/
ATOMIC_SPECIES
Dy 162.50 Dy.upf
Ho 164.93 Ho.upf
Ag 107.87 Ag.upf
ATOMIC_POSITIONS crystal
Dy 0.0000 0.0000 0.0000
Ho 0.5000 0.5000 0.2019
Ho 0.5000 0.5000 0.5000
Ho 0.5000 0.5000 0.7981
Ag 0.0000 0.0000 0.3510
Ag 0.0000 0.0000 0.6490
CELL_PARAMETERS angstrom
3.6015 0.0000 0.0000
0.0000 3.6015 0.0000
0.0000 0.0000 12.2204
```

# 2
Compound: Dy2HoAg6
Source: the Alexandria database
Functional: PBE
Structure: relaxed Values from VASP.

Computed properties:
ΔH_f (0 K) in eV per atom: -0.251
Total DFT energy (no corrections) in eV/cell: -33.15
Size of the total moment in μB/f.u.: 0.00

Geometry as Quantum ESPRESSO input:
```
&SYSTEM
  ibrav = 0, nat = 9, ntyp = 3
/
ATOMIC_SPECIES
Dy 162.50 Dy.upf
Ho 164.93 Ho.upf
Ag 107.87 Ag.upf
ATOMIC_POSITIONS crystal
Dy 0.1649 0.8351 0.0000
Dy 0.8351 0.1649 0.0000
Ho 0.0000 0.0000 0.5000
Ag 0.1682 0.5000 0.6642
Ag 0.3384 0.3384 0.1770
Ag 0.5000 0.1682 0.6642
Ag 0.5000 0.8318 0.3358
Ag 0.6616 0.6616 0.8230
Ag 0.8318 0.5000 0.3358
CELL_PARAMETERS angstrom
2.6484 -8.0568 0.0000
2.6484 8.0568 0.0000
-2.6308 0.0000 4.6130
```

# 3
Compound: Dy2HoIn2Ag2
Source: the Alexandria database
Functional: PBE
Structure: relaxed Values from VASP.

Computed properties:
ΔH_f (0 K) in eV per atom: -0.272
Total DFT energy (no corrections) in eV/cell: -26.86
Size of the total moment in μB/f.u.: 0.00

Geometry as Quantum ESPRESSO input:
```
&SYSTEM
  ibrav = 0, nat = 7, ntyp = 4
/
ATOMIC_SPECIES
Dy 162.50 Dy.upf
Ho 164.93 Ho.upf
In 114.82 In.upf
Ag 107.87 Ag.upf
ATOMIC_POSITIONS crystal
Dy 0.1259 0.1259 0.1259
Dy 0.8741 0.8741 0.8741
Ho 0.0000 0.0000 0.0000
In 0.2603 0.2603 0.2603
In 0.7397 0.7397 0.7397
Ag 0.3955 0.3955 0.3955
Ag 0.6045 0.6045 0.6045
CELL_PARAMETERS angstrom
2.4165 1.3952 8.8789
-2.4165 1.3952 8.8789
0.0000 -2.7903 8.8789
```

# 4
Compound: DyHoInAg
Source: the Alexandria database
Functional: PBE
Structure: relaxed Values from VASP.

Computed properties:
ΔH_f (0 K) in eV per atom: -0.397
Total DFT energy (no corrections) in eV/cell: -65.43
Size of the total moment in μB/f.u.: 0.00

Geometry as Quantum ESPRESSO input:
```
&SYSTEM
  ibrav = 0, nat = 16, ntyp = 4
/
ATOMIC_SPECIES
Dy 162.50 Dy.upf
Ho 164.93 Ho.upf
In 114.82 In.upf
Ag 107.87 Ag.upf
ATOMIC_POSITIONS crystal
Dy 0.0000 0.0000 0.0000
Dy 0.0000 0.5000 0.5000
Dy 0.5000 0.0000 0.5000
Dy 0.5000 0.5000 0.0000
Ho 0.0000 0.0000 0.5000
Ho 0.0000 0.5000 0.0000
Ho 0.5000 0.0000 0.0000
Ho 0.5000 0.5000 0.5000
In 0.2500 0.2500 0.2500
In 0.2500 0.7500 0.7500
In 0.7500 0.2500 0.7500
In 0.7500 0.7500 0.2500
Ag 0.2500 0.2500 0.7500
Ag 0.2500 0.7500 0.2500
Ag 0.7500 0.2500 0.2500
Ag 0.7500 0.7500 0.7500
CELL_PARAMETERS angstrom
7.4106 0.0000 0.0000
0.0000 7.4106 0.0000
0.0000 0.0000 7.4106
```

# 5
Compound: LaDyHoAg
Source: the Alexandria database
Functional: PBE
Structure: relaxed Values from VASP.

Computed properties:
ΔH_f (0 K) in eV per atom: -0.127
Total DFT energy (no corrections) in eV/cell: -17.46
Size of the total moment in μB/f.u.: 0.00

Geometry as Quantum ESPRESSO input:
```
&SYSTEM
  ibrav = 0, nat = 4, ntyp = 4
/
ATOMIC_SPECIES
La 138.91 La.upf
Dy 162.50 Dy.upf
Ho 164.93 Ho.upf
Ag 107.87 Ag.upf
ATOMIC_POSITIONS crystal
La 0.0000 0.0000 0.0000
Dy 0.5000 0.5000 0.7036
Ho 0.5000 0.5000 0.2958
Ag 0.0000 0.0000 0.4976
CELL_PARAMETERS angstrom
3.6532 0.0000 0.0000
0.0000 3.6532 0.0000
0.0000 0.0000 8.7129
```

# 6
Compound: DyHoLuAg
Source: the Alexandria database
Functional: PBE
Structure: relaxed Values from VASP.

Computed properties:
ΔH_f (0 K) in eV per atom: 0.041
Total DFT energy (no corrections) in eV/cell: -65.55
Size of the total moment in μB/f.u.: 0.00

Geometry as Quantum ESPRESSO input:
```
&SYSTEM
  ibrav = 0, nat = 16, ntyp = 4
/
ATOMIC_SPECIES
Dy 162.50 Dy.upf
Ho 164.93 Ho.upf
Lu 174.97 Lu.upf
Ag 107.87 Ag.upf
ATOMIC_POSITIONS crystal
Dy 0.0000 0.0000 0.0000
Dy 0.0000 0.5000 0.5000
Dy 0.5000 0.0000 0.5000
Dy 0.5000 0.5000 0.0000
Ho 0.0000 0.0000 0.5000
Ho 0.0000 0.5000 0.0000
Ho 0.5000 0.0000 0.0000
Ho 0.5000 0.5000 0.5000
Lu 0.2500 0.2500 0.2500
Lu 0.2500 0.7500 0.7500
Lu 0.7500 0.2500 0.7500
Lu 0.7500 0.7500 0.2500
Ag 0.2500 0.2500 0.7500
Ag 0.2500 0.7500 0.2500
Ag 0.7500 0.2500 0.2500
Ag 0.7500 0.7500 0.7500
CELL_PARAMETERS angstrom
7.5302 0.0000 0.0000
0.0000 7.5302 0.0000
0.0000 0.0000 7.5302
```

# 7
Compound: DyHoMnAg
Source: the Alexandria database
Functional: PBE
Structure: relaxed Values from VASP.

Computed properties:
ΔH_f (0 K) in eV per atom: -0.012
Total DFT energy (no corrections) in eV/cell: -84.99
Size of the total moment in μB/f.u.: 3.45

Geometry as Quantum ESPRESSO input:
```
&SYSTEM
  ibrav = 0, nat = 16, ntyp = 4
/
ATOMIC_SPECIES
Dy 162.50 Dy.upf
Ho 164.93 Ho.upf
Mn 54.94 Mn.upf
Ag 107.87 Ag.upf
ATOMIC_POSITIONS crystal
Dy 0.0000 0.0000 0.0000
Dy 0.0000 0.5000 0.5000
Dy 0.5000 0.0000 0.5000
Dy 0.5000 0.5000 0.0000
Ho 0.0000 0.0000 0.5000
Ho 0.0000 0.5000 0.0000
Ho 0.5000 0.0000 0.0000
Ho 0.5000 0.5000 0.5000
Mn 0.2500 0.2500 0.2500
Mn 0.2500 0.7500 0.7500
Mn 0.7500 0.2500 0.7500
Mn 0.7500 0.7500 0.2500
Ag 0.2500 0.2500 0.7500
Ag 0.2500 0.7500 0.2500
Ag 0.7500 0.2500 0.2500
Ag 0.7500 0.7500 0.7500
CELL_PARAMETERS angstrom
7.1814 0.0000 0.0000
0.0000 7.1814 0.0000
0.0000 0.0000 7.1814
```

# 8
Compound: DyHo2AgN
Source: the Alexandria database
Functional: PBE
Structure: relaxed Values from VASP.

Computed properties:
Total DFT energy (no corrections) in eV/cell: -28.69
Energy relative to the elements, uncorrected in kJ/mol of formula units: -363
Size of the total moment in μB/f.u.: 0.00

Geometry as Quantum ESPRESSO input:
```
&SYSTEM
  ibrav = 0, nat = 5, ntyp = 4
/
ATOMIC_SPECIES
Dy 162.50 Dy.upf
Ho 164.93 Ho.upf
Ag 107.87 Ag.upf
N 14.01 N.upf
ATOMIC_POSITIONS crystal
Dy 0.0000 0.0000 0.0000
Ho 0.0000 0.5000 0.5000
Ho 0.5000 0.0000 0.5000
Ag 0.5000 0.5000 0.0000
N 0.0000 0.0000 0.5000
CELL_PARAMETERS angstrom
4.7540 0.0000 0.0000
0.0000 4.7540 0.0000
0.0000 0.0000 4.8125
```